[1]
A plane-wave DFT calculation with PBE was carried out for a geometry-optimized TbSmCBr structure.

Values from the calculation:
The energy relative to the elements, uncorrected comes out at -929 meV/atom.

Cell lengths 7.583, 7.583, 7.583 Å; angles 28.43, 28.43, 28.43 degrees
Sites, in units of the cell vectors:
Tb (0.000, 0.000, 0.000)
Sm (0.213, 0.213, 0.213)
C (0.610, 0.610, 0.610)
Br (0.437, 0.437, 0.437)

[2]
A plane-wave DFT calculation with PBE was carried out for a geometry-optimized AcDy2TaN4 structure.

Values from the calculation:
The energy relative to the elements, uncorrected comes out at -1274 meV/atom.

Cell lengths 6.407, 6.407, 12.115 Å; angles 90.00, 90.00, 148.40 degrees
Sites, in units of the cell vectors:
Ac (0.090, 0.910, 0.750)
Ac (0.910, 0.090, 0.250)
Dy (0.372, 0.628, 0.536)
Dy (0.372, 0.628, 0.964)
Dy (0.628, 0.372, 0.036)
Dy (0.628, 0.372, 0.464)
Ta (0.170, 0.830, 0.250)
Ta (0.830, 0.170, 0.750)
N (0.000, 0.000, 0.000)
N (0.000, 0.000, 0.500)
N (0.260, 0.740, 0.118)
N (0.260, 0.740, 0.382)
N (0.424, 0.576, 0.750)
N (0.576, 0.424, 0.250)
N (0.740, 0.260, 0.618)
N (0.740, 0.260, 0.882)